[1]
VASP calculation (PBE) on a geometry-optimized CrFeBr4 structure.

## Properties
- Raw formation energy: 1.176 eV per atom
- E_tot: -0.1085 Ha/atom

a = 6.2475 Å, b = 6.2475 Å, c = 6.2475 Å
α = 60.00°, β = 60.00°, γ = 60.00°
Site moments in Bohr magnetons follow the coordinates.
Positions (direct):
Br 0.3745 0.3745 0.3745  -0.18
Fe 0.0000 0.0000 0.0000  3.32
Br 0.3745 0.3745 0.8765  -0.18
Br 0.3745 0.8765 0.3745  -0.18
Cr 0.7500 0.7500 0.7500  4.28
Br 0.8765 0.3745 0.3745  -0.18


[2]
VASP calculation (PBE) on a geometry-optimized CrFe4Br structure.

## Properties
- Raw formation energy: 0.762 eV per atom
- E_tot: -0.2485 Ha/atom

a = 4.8638 Å, b = 4.8638 Å, c = 4.8638 Å
α = 60.00°, β = 60.00°, γ = 60.00°
Site moments in Bohr magnetons follow the coordinates.
Positions (direct):
Fe 0.6261 0.6261 0.1218  2.14
Br 0.2500 0.2500 0.2500  0.11
Fe 0.6261 0.6261 0.6261  2.14
Fe 0.6261 0.1218 0.6261  2.14
Cr 0.0000 0.0000 0.0000  2.37
Fe 0.1218 0.6261 0.6261  2.14


[3]
VASP calculation (PBE) on a geometry-optimized Cr2FeBr structure.

## Properties
- Raw formation energy: 0.433 eV per atom
- E_tot: -0.2540 Ha/atom

a = 3.0101 Å, b = 3.1048 Å, c = 7.5827 Å
α = 65.74°, β = 90.00°, γ = 90.00°
Site moments in Bohr magnetons follow the coordinates.
Positions (direct):
Br 0.5000 0.3856 0.7397  0.04
Fe 0.0000 0.6810 0.4433  2.19
Cr 0.5000 0.3683 0.2564  -2.17
Cr 0.0000 0.0650 0.0606  2.77


[4]
VASP calculation (PBE) on a geometry-optimized CrFeBr structure.

## Properties
- Raw formation energy: 0.484 eV per atom
- E_tot: -0.2243 Ha/atom

a = 3.3246 Å, b = 3.3246 Å, c = 5.4938 Å
α = 90.00°, β = 90.00°, γ = 120.00°
Site moments in Bohr magnetons follow the coordinates.
Positions (direct):
Cr 0.6667 0.3333 0.3758  2.65
Fe 0.3333 0.6667 0.6125  -2.28
Br 0.0000 0.0000 0.0118  -0.01


Q: The highest E_tot belongs to which entry?
A: CrFeBr4


Q: E_tot of number 2 (CrFe4Br)?
A: -0.2485 Ha/atom